VASP calculation (meta-GGA SCAN) on a crystal of Ir2OsPt relaxed with PBEsol.

CIF file:
```
data_Ir2OsPt
_chemical_formula_sum 'Ir2 Os1 Pt1'
_space_group_name_H-M_alt 'P 1'
_space_group_IT_number 1
_cell_length_a 2.715
_cell_length_b 2.715
_cell_length_c 7.735
_cell_angle_alpha 90.00
_cell_angle_beta 90.00
_cell_angle_gamma 90.00
loop_
_space_group_symop_operation_xyz
'x,y,z'
loop_
_atom_site_label
_atom_site_fract_x
_atom_site_fract_y
_atom_site_fract_z
Ir1 0.000 0.000 0.239
Ir2 0.000 0.000 0.761
Os1 0.500 0.500 0.000
Pt1 0.500 0.500 0.500
```

## Properties
- total DFT energy (no corrections) (eV/atom) = -71.05
- total moment (μB/atom) = 0.000
- ρ (g cm⁻³) = 22.4
- V (Å³/atom) = 14.3
- crystal system = tetragonal
- DOS at the Fermi energy (states/eV/cell) = 3.5
- offset from the most stable computed form (eV per atom) = 0.000

---

VASP calculation (meta-GGA SCAN) on a crystal of IrOsPt2 relaxed with PBEsol.

CIF file:
```
data_IrOsPt2
_chemical_formula_sum 'Ir1 Os1 Pt2'
_space_group_name_H-M_alt 'P 1'
_space_group_IT_number 1
_cell_length_a 4.372
_cell_length_b 4.372
_cell_length_c 4.372
_cell_angle_alpha 60.00
_cell_angle_beta 60.00
_cell_angle_gamma 60.00
loop_
_space_group_symop_operation_xyz
'x,y,z'
loop_
_atom_site_label
_atom_site_fract_x
_atom_site_fract_y
_atom_site_fract_z
Ir1 0.000 0.000 0.000
Os1 0.500 0.500 0.500
Pt1 0.250 0.250 0.250
Pt2 0.750 0.750 0.750
```

## Properties
- total DFT energy (no corrections) (eV/atom) = -70.29
- total moment (μB/atom) = 0.000
- ρ (g cm⁻³) = 21.7
- V (Å³/atom) = 14.8
- crystal system = cubic
- DOS at the Fermi energy (states/eV/cell) = 3.3
- offset from the most stable computed form (eV per atom) = 0.540

---

VASP calculation (meta-GGA SCAN) on a crystal of Ir2OsPt relaxed with PBEsol.

CIF file:
```
data_Ir2OsPt
_chemical_formula_sum 'Ir2 Os1 Pt1'
_space_group_name_H-M_alt 'P 1'
_space_group_IT_number 1
_cell_length_a 9.047
_cell_length_b 9.047
_cell_length_c 9.047
_cell_angle_alpha 17.28
_cell_angle_beta 17.28
_cell_angle_gamma 17.28
loop_
_space_group_symop_operation_xyz
'x,y,z'
loop_
_atom_site_label
_atom_site_fract_x
_atom_site_fract_y
_atom_site_fract_z
Ir1 0.247 0.247 0.247
Ir2 0.753 0.753 0.753
Os1 0.500 0.500 0.500
Pt1 0.000 0.000 0.000
```

## Properties
- total DFT energy (no corrections) (eV/atom) = -71.05
- total moment (μB/atom) = 0.000
- ρ (g cm⁻³) = 22.4
- V (Å³/atom) = 14.3
- crystal system = trigonal
- DOS at the Fermi energy (states/eV/cell) = 3.3
- offset from the most stable computed form (eV per atom) = 0.009

---

VASP calculation (meta-GGA SCAN) on a crystal of Ir2OsPt relaxed with PBEsol.

CIF file:
```
data_Ir2OsPt
_chemical_formula_sum 'Ir2 Os1 Pt1'
_space_group_name_H-M_alt 'P 1'
_space_group_IT_number 1
_cell_length_a 4.715
_cell_length_b 4.715
_cell_length_c 4.713
_cell_angle_alpha 99.39
_cell_angle_beta 99.39
_cell_angle_gamma 33.43
loop_
_space_group_symop_operation_xyz
'x,y,z'
loop_
_atom_site_label
_atom_site_fract_x
_atom_site_fract_y
_atom_site_fract_z
Ir1 0.246 0.246 0.243
Ir2 0.754 0.754 0.757
Os1 0.500 0.500 0.000
Pt1 0.000 0.000 0.500
```

## Properties
- total DFT energy (no corrections) (eV/atom) = -71.00
- total moment (μB/atom) = 0.000
- ρ (g cm⁻³) = 22.5
- V (Å³/atom) = 14.2
- crystal system = monoclinic
- DOS at the Fermi energy (states/eV/cell) = 3.0
- offset from the most stable computed form (eV per atom) = 0.052

---

VASP calculation (meta-GGA SCAN) on a crystal of Ir2OsPt relaxed with PBEsol.

CIF file:
```
data_Ir2OsPt
_chemical_formula_sum 'Ir2 Os1 Pt1'
_space_group_name_H-M_alt 'P 1'
_space_group_IT_number 1
_cell_length_a 2.693
_cell_length_b 2.693
_cell_length_c 9.397
_cell_angle_alpha 90.00
_cell_angle_beta 90.00
_cell_angle_gamma 120.57
loop_
_space_group_symop_operation_xyz
'x,y,z'
loop_
_atom_site_label
_atom_site_fract_x
_atom_site_fract_y
_atom_site_fract_z
Ir1 0.000 0.000 0.244
Ir2 0.000 0.000 0.756
Os1 0.500 0.500 0.000
Pt1 0.500 0.500 0.500
```

## Properties
- total DFT energy (no corrections) (eV/atom) = -70.69
- total moment (μB/atom) = 0.000
- ρ (g cm⁻³) = 21.8
- V (Å³/atom) = 14.7
- crystal system = orthorhombic
- DOS at the Fermi energy (states/eV/cell) = 5.5
- offset from the most stable computed form (eV per atom) = 0.367

---

VASP calculation (meta-GGA SCAN) on a crystal of Ir2OsPt relaxed with PBEsol.

CIF file:
```
data_Ir2OsPt
_chemical_formula_sum 'Ir2 Os1 Pt1'
_space_group_name_H-M_alt 'P 1'
_space_group_IT_number 1
_cell_length_a 2.712
_cell_length_b 2.712
_cell_length_c 7.756
_cell_angle_alpha 90.00
_cell_angle_beta 90.00
_cell_angle_gamma 90.00
loop_
_space_group_symop_operation_xyz
'x,y,z'
loop_
_atom_site_label
_atom_site_fract_x
_atom_site_fract_y
_atom_site_fract_z
Ir1 0.000 0.000 0.000
Ir2 0.500 0.500 0.248
Os1 0.000 0.000 0.487
Pt1 0.500 0.500 0.740
```

## Properties
- total DFT energy (no corrections) (eV/atom) = -70.98
- total moment (μB/atom) = 0.000
- ρ (g cm⁻³) = 22.4
- V (Å³/atom) = 14.3
- crystal system = tetragonal
- DOS at the Fermi energy (states/eV/cell) = 3.5
- offset from the most stable computed form (eV per atom) = 0.070

---

VASP calculation (meta-GGA SCAN) on a crystal of Ir2OsPt relaxed with PBEsol.

CIF file:
```
data_Ir2OsPt
_chemical_formula_sum 'Ir2 Os1 Pt1'
_space_group_name_H-M_alt 'P 1'
_space_group_IT_number 1
_cell_length_a 4.727
_cell_length_b 4.727
_cell_length_c 4.727
_cell_angle_alpha 132.18
_cell_angle_beta 132.18
_cell_angle_gamma 69.95
loop_
_space_group_symop_operation_xyz
'x,y,z'
loop_
_atom_site_label
_atom_site_fract_x
_atom_site_fract_y
_atom_site_fract_z
Ir1 0.000 0.000 0.000
Ir2 0.750 0.250 0.500
Os1 0.500 0.500 0.000
Pt1 0.250 0.750 0.500
```

## Properties
- total DFT energy (no corrections) (eV/atom) = -70.95
- total moment (μB/atom) = 0.000
- ρ (g cm⁻³) = 22.5
- V (Å³/atom) = 14.2
- crystal system = tetragonal
- DOS at the Fermi energy (states/eV/cell) = 3.7
- offset from the most stable computed form (eV per atom) = 0.105

---

VASP calculation (meta-GGA SCAN) on a crystal of ZnIrOsPt2 relaxed with PBEsol.

CIF file:
```
data_ZnIrOsPt2
_chemical_formula_sum 'Zn1 Ir1 Os1 Pt2'
_space_group_name_H-M_alt 'P 1'
_space_group_IT_number 1
_cell_length_a 4.422
_cell_length_b 4.422
_cell_length_c 4.457
_cell_angle_alpha 90.00
_cell_angle_beta 90.00
_cell_angle_gamma 90.00
loop_
_space_group_symop_operation_xyz
'x,y,z'
loop_
_atom_site_label
_atom_site_fract_x
_atom_site_fract_y
_atom_site_fract_z
Zn1 0.000 0.000 0.000
Ir1 0.000 0.000 0.500
Os1 0.500 0.500 0.500
Pt1 0.000 0.500 0.000
Pt2 0.500 0.000 0.000
```

## Properties
- total DFT energy (no corrections) (eV/atom) = -57.62
- total moment (μB/atom) = 0.766
- ρ (g cm⁻³) = 16.0
- V (Å³/atom) = 17.4
- crystal system = tetragonal
- DOS at the Fermi energy (states/eV/cell) = 4.4

---

VASP calculation (meta-GGA SCAN) on a crystal of Re2IrOs relaxed with PBEsol.

CIF file:
```
data_Re2IrOs
_chemical_formula_sum 'Re2 Ir1 Os1'
_space_group_name_H-M_alt 'P 1'
_space_group_IT_number 1
_cell_length_a 3.248
_cell_length_b 3.248
_cell_length_c 5.540
_cell_angle_alpha 90.00
_cell_angle_beta 90.00
_cell_angle_gamma 90.00
loop_
_space_group_symop_operation_xyz
'x,y,z'
loop_
_atom_site_label
_atom_site_fract_x
_atom_site_fract_y
_atom_site_fract_z
Re1 0.000 0.000 0.000
Re2 0.500 0.500 0.267
Ir1 0.000 0.000 0.506
Os1 0.500 0.500 0.746
```

## Properties
- total DFT energy (no corrections) (eV/atom) = -70.93
- total moment (μB/atom) = 0.125
- ρ (g cm⁻³) = 21.4
- V (Å³/atom) = 14.6
- crystal system = tetragonal
- DOS at the Fermi energy (states/eV/cell) = 3.2

---

VASP calculation (meta-GGA SCAN) on a crystal of Re2IrOs relaxed with PBEsol.

CIF file:
```
data_Re2IrOs
_chemical_formula_sum 'Re2 Ir1 Os1'
_space_group_name_H-M_alt 'P 1'
_space_group_IT_number 1
_cell_length_a 4.706
_cell_length_b 4.706
_cell_length_c 4.706
_cell_angle_alpha 131.69
_cell_angle_beta 131.69
_cell_angle_gamma 70.72
loop_
_space_group_symop_operation_xyz
'x,y,z'
loop_
_atom_site_label
_atom_site_fract_x
_atom_site_fract_y
_atom_site_fract_z
Re1 0.250 0.750 0.500
Re2 0.750 0.250 0.500
Ir1 0.000 0.000 0.000
Os1 0.500 0.500 0.000
```

## Properties
- total DFT energy (no corrections) (eV/atom) = -71.39
- total moment (μB/atom) = 0.000
- ρ (g cm⁻³) = 22.0
- V (Å³/atom) = 14.2
- crystal system = tetragonal
- DOS at the Fermi energy (states/eV/cell) = 3.0

---

VASP calculation (meta-GGA SCAN) on a crystal of Re2IrOs relaxed with PBEsol.

CIF file:
```
data_Re2IrOs
_chemical_formula_sum 'Re2 Ir1 Os1'
_space_group_name_H-M_alt 'P 1'
_space_group_IT_number 1
_cell_length_a 3.844
_cell_length_b 3.844
_cell_length_c 3.852
_cell_angle_alpha 90.00
_cell_angle_beta 90.00
_cell_angle_gamma 90.00
loop_
_space_group_symop_operation_xyz
'x,y,z'
loop_
_atom_site_label
_atom_site_fract_x
_atom_site_fract_y
_atom_site_fract_z
Re1 0.000 0.500 0.000
Re2 0.500 0.000 0.000
Ir1 0.000 0.000 0.500
Os1 0.500 0.500 0.500
```

## Properties
- total DFT energy (no corrections) (eV/atom) = -71.39
- total moment (μB/atom) = 0.000
- ρ (g cm⁻³) = 22.0
- V (Å³/atom) = 14.2
- crystal system = tetragonal
- DOS at the Fermi energy (states/eV/cell) = 3.4

---

VASP calculation (meta-GGA SCAN) on a crystal of Re2IrOs relaxed with PBEsol.

CIF file:
```
data_Re2IrOs
_chemical_formula_sum 'Re2 Ir1 Os1'
_space_group_name_H-M_alt 'P 1'
_space_group_IT_number 1
_cell_length_a 2.740
_cell_length_b 4.352
_cell_length_c 4.768
_cell_angle_alpha 90.00
_cell_angle_beta 90.00
_cell_angle_gamma 90.00
loop_
_space_group_symop_operation_xyz
'x,y,z'
loop_
_atom_site_label
_atom_site_fract_x
_atom_site_fract_y
_atom_site_fract_z
Re1 0.000 0.000 0.000
Re2 0.000 0.500 0.331
Ir1 0.500 0.500 0.838
Os1 0.500 0.000 0.497
```

## Properties
- total DFT energy (no corrections) (eV/atom) = -71.54
- total moment (μB/atom) = 0.000
- ρ (g cm⁻³) = 22.0
- V (Å³/atom) = 14.2
- crystal system = orthorhombic
- DOS at the Fermi energy (states/eV/cell) = 1.9

---

VASP calculation (meta-GGA SCAN) on a crystal of ZnRe2IrOs relaxed with PBEsol.

CIF file:
```
data_ZnRe2IrOs
_chemical_formula_sum 'Zn1 Re2 Ir1 Os1'
_space_group_name_H-M_alt 'P 1'
_space_group_IT_number 1
_cell_length_a 4.625
_cell_length_b 4.625
_cell_length_c 4.436
_cell_angle_alpha 90.00
_cell_angle_beta 90.00
_cell_angle_gamma 90.00
loop_
_space_group_symop_operation_xyz
'x,y,z'
loop_
_atom_site_label
_atom_site_fract_x
_atom_site_fract_y
_atom_site_fract_z
Zn1 0.000 0.000 0.000
Re1 0.000 0.500 0.500
Re2 0.500 0.000 0.500
Ir1 0.000 0.000 0.500
Os1 0.500 0.500 0.000
```

## Properties
- total DFT energy (no corrections) (eV/atom) = -57.57
- total moment (μB/atom) = 0.632
- ρ (g cm⁻³) = 14.4
- V (Å³/atom) = 19.0
- crystal system = tetragonal
- DOS at the Fermi energy (states/eV/cell) = 3.9

---

VASP calculation (meta-GGA SCAN) on a crystal of Ir2OsRh relaxed with PBEsol.

CIF file:
```
data_Ir2OsRh
_chemical_formula_sum 'Ir2 Os1 Rh1'
_space_group_name_H-M_alt 'P 1'
_space_group_IT_number 1
_cell_length_a 4.679
_cell_length_b 4.679
_cell_length_c 4.668
_cell_angle_alpha 99.47
_cell_angle_beta 99.47
_cell_angle_gamma 33.42
loop_
_space_group_symop_operation_xyz
'x,y,z'
loop_
_atom_site_label
_atom_site_fract_x
_atom_site_fract_y
_atom_site_fract_z
Ir1 0.000 0.000 0.000
Ir2 0.250 0.250 0.745
Os1 0.748 0.748 0.244
Rh1 0.498 0.498 0.494
```

## Properties
- total DFT energy (no corrections) (eV/atom) = -61.95
- total moment (μB/atom) = 0.000
- ρ (g cm⁻³) = 20.3
- V (Å³/atom) = 13.9
- crystal system = monoclinic
- DOS at the Fermi energy (states/eV/cell) = 3.6
- offset from the most stable computed form (eV per atom) = 0.024

---

VASP calculation (meta-GGA SCAN) on a crystal of IrOsRh2 relaxed with PBEsol.

CIF file:
```
data_IrOsRh2
_chemical_formula_sum 'Ir1 Os1 Rh2'
_space_group_name_H-M_alt 'P 1'
_space_group_IT_number 1
_cell_length_a 2.690
_cell_length_b 2.690
_cell_length_c 7.618
_cell_angle_alpha 90.00
_cell_angle_beta 90.00
_cell_angle_gamma 90.00
loop_
_space_group_symop_operation_xyz
'x,y,z'
loop_
_atom_site_label
_atom_site_fract_x
_atom_site_fract_y
_atom_site_fract_z
Ir1 0.000 0.000 0.000
Os1 0.500 0.500 0.247
Rh1 0.000 0.000 0.493
Rh2 0.500 0.500 0.747
```

## Properties
- total DFT energy (no corrections) (eV/atom) = -52.62
- total moment (μB/atom) = 0.000
- ρ (g cm⁻³) = 17.7
- V (Å³/atom) = 13.8
- crystal system = tetragonal
- DOS at the Fermi energy (states/eV/cell) = 4.0
- offset from the most stable computed form (eV per atom) = 0.006

---

no.,DFT formation energy (eV/f.u.)
1,0.05
2,2.19
3,0.09
4,0.26
5,1.52
6,0.33
7,0.47
8,8.80
9,1.45
10,-0.40
11,-0.39
12,-1.00
13,10.86
14,0.03
15,0.02